Here is a relaxed structure of PmPr3In2 from Alexandria via LeMat-Bulk. Energies are from GGA-PBE.

Computed properties:
The density of states at the Fermi level comes out at 13.57 states/eV/cell. The energy above the most stable polymorph in this dataset is 0.000 eV/atom. The symmetry is No. 26. Its energy relative to the elements is -348 meV/atom.

Lattice parameters (Å, degrees): 5.3847 6.9238 10.2271 90.00 90.00 90.00
With the nearest neighbours (Å) after each atom.
Atoms (fractional coordinates):
Pm 0.5000 0.5330 0.5410  5 In 3.35-3.73, 2 Pm 3.56, 3 Pr 3.57-3.71
Pm 0.5000 0.0330 0.4590  5 In 3.35-3.73, 2 Pm 3.56, 3 Pr 3.57-3.71
Pr 0.0000 0.4653 0.9597  5 In 3.37-3.73, 5 Pr 3.56-3.75
Pr 0.0000 0.9653 0.0403  5 In 3.37-3.73, 5 Pr 3.56-3.75
Pr 0.5000 0.6932 0.1786  5 In 3.32-3.61, 2 Pr 3.58, 1 Pm 3.71
Pr 0.5000 0.1932 0.8214  5 In 3.32-3.61, 2 Pr 3.58, 1 Pm 3.71
Pr 0.0000 0.3072 0.3242  5 In 3.26-3.60, 2 Pm 3.57
Pr 0.0000 0.8072 0.6758  5 In 3.26-3.60, 2 Pm 3.57
In 0.5000 0.7125 0.8547  7 Pr 3.32-3.61, 1 Pm 3.44
In 0.5000 0.2125 0.1453  7 Pr 3.32-3.61, 1 Pm 3.44
In 0.0000 0.2888 0.6430  6 Pr 3.26-3.60, 2 Pm 3.35
In 0.0000 0.7888 0.3570  6 Pr 3.26-3.60, 2 Pm 3.35



Here is a relaxed structure of RbYBe2Cl8 from Alexandria via LeMat-Bulk. Energies are from GGA-PBE.

Computed properties:
The value obtained for the uncorrected formation energy is -1.7911 eV per atom. The density of states at the Fermi level comes out at 0.00 states/eV/cell. The symmetry is No. 148.

Lattice parameters (Å, degrees): 6.2330 6.2330 10.5061 72.74 72.74 60.00
With the nearest neighbours (Å) after each atom.
Atoms (fractional coordinates):
Rb 0.5000 0.5000 0.5000  12 Cl 3.66-3.98
Y 0.0000 0.0000 0.0000  6 Cl 2.67
Be 0.2552 0.2552 0.2343  4 Cl 1.95-2.07
Be 0.7448 0.7448 0.7657  4 Cl 1.95-2.07
Cl 0.1895 0.1895 0.4316  1 Be 1.95
Cl 0.5918 0.2785 0.1611  1 Be 2.07
Cl 0.8105 0.8105 0.5684  1 Be 1.95
Cl 0.9686 0.5918 0.1611  1 Be 2.07
Cl 0.0314 0.4082 0.8389  1 Be 2.07
Cl 0.2785 0.9686 0.1611  1 Be 2.07
Cl 0.7215 0.0314 0.8389  1 Be 2.07
Cl 0.4082 0.7215 0.8389  1 Be 2.07



Here is a relaxed structure of HgMo2Ru from Alexandria via LeMat-Bulk. Energies are from GGA-PBE.

Computed properties:
The density of states at the Fermi level comes out at 3.14 states/eV/cell. The symmetry is No. 160. Its energy relative to the elements is 382 meV/atom.

Lattice parameters (Å, degrees): 9.6809 9.6809 9.6809 16.87 16.87 16.87
With the nearest neighbours (Å) after each atom.
Atoms (fractional coordinates):
Hg 0.7521 0.7521 0.7521  6 Hg 2.84, 3 Ru 3.00, 3 Mo 3.03
Mo 0.9962 0.9962 0.9962  9 Mo 2.84-2.91, 3 Hg 3.03
Mo 0.2454 0.2454 0.2454  3 Ru 2.64, 9 Mo 2.84-2.91
Ru 0.5063 0.5063 0.5063  3 Mo 2.64, 6 Ru 2.84



Here is a relaxed structure of Rb2OsF8 from Alexandria via LeMat-Bulk. Energies are from GGA-PBE.

Computed properties:
The value obtained for the uncorrected formation energy is -2.0414 eV per atom. The density of states at the Fermi level comes out at 21.70 states/eV/cell. The symmetry is No. 12.

Lattice parameters (Å, degrees): 7.2471 7.1094 7.1093 44.33 107.30 107.30
With the nearest neighbours (Å) after each atom.
Atoms (fractional coordinates):
Os 0.0000 0.0000 0.0000  6 F 1.89-1.91
Rb 0.3262 0.8007 0.8007  3 F 2.73-2.74
Rb 0.6738 0.1993 0.1993  3 F 2.73-2.74
F 0.0262 0.8606 0.3526  1 Os 1.89
F 0.9738 0.6475 0.1394  1 Os 1.89
F 0.7254 0.9744 0.9744  1 Os 1.91
F 0.2746 0.0256 0.0256  1 Os 1.91
F 0.0262 0.3525 0.8606  1 Os 1.89
F 0.9738 0.1394 0.6474  1 Os 1.89
F 0.6112 0.7052 0.7052  3 Rb 2.73-2.74
F 0.3888 0.2948 0.2948  3 Rb 2.73-2.74



Here is a relaxed structure of DyAlZn17 from Alexandria via LeMat-Bulk. Energies are from GGA-PBE.

Computed properties:
The density of states at the Fermi level comes out at 5.14 states/eV/cell. The symmetry is No. 160. Its energy relative to the elements is -82 meV/atom.

Lattice parameters (Å, degrees): 6.8095 6.8095 6.8095 81.46 81.46 81.46
With the nearest neighbours (Å) after each atom.
Atoms (fractional coordinates):
Dy 0.6610 0.6610 0.6610  19 Zn 3.14-3.41, 1 Al 3.39
Al 0.4084 0.4084 0.4084  12 Zn 2.78-3.11
Zn 0.3060 0.0122 0.6672  7 Zn 2.61-2.75
Zn 0.6672 0.3060 0.0122  7 Zn 2.61-2.75
Zn 0.0122 0.6672 0.3060  7 Zn 2.61-2.75
Zn 0.3060 0.6672 0.0122  7 Zn 2.61-2.75
Zn 0.0122 0.3060 0.6672  7 Zn 2.61-2.75
Zn 0.6672 0.0122 0.3060  7 Zn 2.61-2.75
Zn 0.3427 0.8397 0.3427  9 Zn 2.55-2.79
Zn 0.3427 0.3427 0.8397  9 Zn 2.55-2.79
Zn 0.8397 0.3427 0.3427  9 Zn 2.55-2.79
Zn 0.6577 0.1624 0.6577  9 Zn 2.55-2.78, 1 Al 2.78
Zn 0.6577 0.6577 0.1624  9 Zn 2.55-2.78, 1 Al 2.78
Zn 0.1624 0.6577 0.6577  9 Zn 2.55-2.78, 1 Al 2.78
Zn 0.9830 0.4940 0.9830  10 Zn 2.55-2.73
Zn 0.9830 0.9830 0.4940  10 Zn 2.55-2.73
Zn 0.4940 0.9830 0.9830  10 Zn 2.55-2.73
Zn 0.9007 0.9007 0.9007  7 Zn 2.62-2.78
Zn 0.0960 0.0960 0.0960  7 Zn 2.62-2.79



Here is a relaxed structure of GaTcIr2 from Alexandria via LeMat-Bulk. Energies are from GGA-PBE.

Computed properties:
The density of states at the Fermi level comes out at 12.77 states/eV/cell. The symmetry is No. 122. Its energy relative to the elements is 697 meV/atom.

Lattice parameters (Å, degrees): 5.4880 5.4880 6.9571 66.77 66.77 90.00
With the nearest neighbours (Å) after each atom.
Atoms (fractional coordinates):
Ir 0.6353 0.1250 0.2500  2 Tc 2.39, 2 Ga 2.45
Ir 0.1147 0.6250 0.2500  2 Tc 2.39, 2 Ga 2.45
Ir 0.3750 0.3647 0.7500  2 Tc 2.39, 2 Ga 2.45
Ir 0.8750 0.8853 0.7500  2 Tc 2.39, 2 Ga 2.45
Tc 0.0000 0.0000 0.0000  4 Ir 2.39
Tc 0.7500 0.2500 0.5000  4 Ir 2.39
Ga 0.5000 0.5000 0.0000  4 Ir 2.45
Ga 0.2500 0.7500 0.5000  4 Ir 2.45



Here is a relaxed structure of ThHgGe2 from Alexandria via LeMat-Bulk. Energies are from GGA-PBE.

Computed properties:
The density of states at the Fermi level comes out at 4.07 states/eV/cell. The energy above the most stable polymorph in this dataset is 0.000 eV/atom. The symmetry is No. 139. Its energy relative to the elements is -424 meV/atom.

Lattice parameters (Å, degrees): 4.3922 4.3922 10.0352 102.64 102.64 90.00
With the nearest neighbours (Å) after each atom.
Atoms (fractional coordinates):
Th 0.1106 0.1106 0.2212  8 Ge 3.05-3.11
Th 0.8894 0.8894 0.7788  8 Ge 3.05-3.11
Hg 0.7500 0.2500 0.5000  4 Hg 3.11, 4 Ge 3.27, 4 Th 3.45
Hg 0.2500 0.7500 0.5000  4 Hg 3.11, 4 Ge 3.27, 4 Th 3.45
Ge 0.3772 0.3772 0.7545  4 Th 3.11, 4 Ge 3.21, 4 Hg 3.27
Ge 0.6228 0.6228 0.2455  4 Th 3.11, 4 Ge 3.21, 4 Hg 3.27
Ge 0.5000 0.0000 0.0000  4 Th 3.05, 8 Ge 3.11-3.21
Ge 0.0000 0.5000 0.0000  4 Th 3.05, 8 Ge 3.11-3.21



Here is a relaxed structure of K2CdAs2O6 from Alexandria via LeMat-Bulk. Energies are from GGA-PBE.

Computed properties:
The value obtained for the uncorrected formation energy is -1.4120 eV per atom. The density of states at the Fermi level comes out at 0.00 states/eV/cell. The symmetry is No. 12.

Lattice parameters (Å, degrees): 5.9541 5.9873 6.9631 116.67 90.00 119.82
With the nearest neighbours (Å) after each atom.
Atoms (fractional coordinates):
K 0.7075 0.4150 0.1870  7 O 2.83-3.16
K 0.2925 0.5850 0.8130  7 O 2.83-3.16
Cd 0.5000 0.0000 0.5000  6 O 2.31-2.43
As 0.9588 0.9175 0.7970  3 O 1.70-1.73
As 0.0412 0.0825 0.2030  3 O 1.70-1.73
O 0.7675 0.5350 0.6323  1 As 1.70
O 0.1974 0.9147 0.2276  1 As 1.73
O 0.2827 0.0853 0.7724  1 As 1.73
O 0.8026 0.0853 0.7724  1 As 1.73
O 0.7173 0.9147 0.2276  1 As 1.73
O 0.2325 0.4650 0.3677  1 As 1.70



Here is a relaxed structure of SrAgSe3 from Alexandria via LeMat-Bulk. Energies are from GGA-PBE.

Computed properties:
The value obtained for the uncorrected formation energy is -0.4869 eV per atom. The density of states at the Fermi level comes out at 3.83 states/eV/cell. The energy above the most stable polymorph in this dataset is 0.000 eV/atom. The symmetry is No. 221.

Lattice parameters (Å, degrees): 5.1462 5.1462 5.1462 90.00 90.00 90.00
With the nearest neighbours (Å) after each atom.
Atoms (fractional coordinates):
Sr 0.5000 0.5000 0.5000  12 Se 3.64
Se 0.0000 0.5000 0.0000  2 Ag 2.57
Se 0.0000 0.0000 0.5000  2 Ag 2.57
Se 0.5000 0.0000 0.0000  2 Ag 2.57
Ag 0.0000 0.0000 0.0000  6 Se 2.57



Here is a relaxed structure of SrLaO2 from Alexandria via LeMat-Bulk. Energies are from GGA-PBE.

Computed properties:
The value obtained for the uncorrected formation energy is -2.2174 eV per atom. The density of states at the Fermi level comes out at 1.40 states/eV/cell. The energy above the most stable polymorph in this dataset is 0.453 eV/atom. The symmetry is No. 225.

Lattice parameters (Å, degrees): 4.4262 4.4262 4.4262 60.00 60.00 60.00
With the nearest neighbours (Å) after each atom.
Atoms (fractional coordinates):
Sr 0.0000 0.0000 0.0000  8 O 2.71
O 0.2500 0.2500 0.2500  4 La 2.71, 4 Sr 2.71
O 0.7500 0.7500 0.7500  4 Sr 2.71, 4 La 2.71
La 0.5000 0.5000 0.5000  8 O 2.71



Here is a relaxed structure of LaNb2Ni from Alexandria via LeMat-Bulk. Energies are from GGA-PBE.

Computed properties:
The density of states at the Fermi level comes out at 5.79 states/eV/cell. The energy above the most stable polymorph in this dataset is 0.000 eV/atom. The symmetry is No. 225. Its energy relative to the elements is 435 meV/atom.

Lattice parameters (Å, degrees): 4.6820 4.6820 4.6820 60.00 60.00 60.00
With the nearest neighbours (Å) after each atom.
Atoms (fractional coordinates):
Ni 0.0000 0.0000 0.0000  8 Nb 2.87
Nb 0.2500 0.2500 0.2500  4 La 2.87, 4 Ni 2.87
Nb 0.7500 0.7500 0.7500  4 La 2.87, 4 Ni 2.87
La 0.5000 0.5000 0.5000  8 Nb 2.87



Here is a relaxed structure of La2ZnPt from Alexandria via LeMat-Bulk. Energies are from GGA-PBE.

Computed properties:
The density of states at the Fermi level comes out at 3.52 states/eV/cell. The symmetry is No. 6. Its energy relative to the elements is -732 meV/atom.

Lattice parameters (Å, degrees): 4.5764 4.0444 6.0904 69.96 90.00 90.00
With the nearest neighbours (Å) after each atom.
Atoms (fractional coordinates):
Zn 0.5000 0.5506 0.7708  2 Pt 2.81, 4 La 3.14
Pt 0.0000 0.6955 0.4848  2 Zn 2.81, 4 La 3.10-3.15
La 0.0000 0.9859 0.8972  3 Pt 3.10-3.36, 4 Zn 3.14
La 0.5000 0.2680 0.3471  4 Pt 3.15-3.16, 3 Zn 3.15-3.30



Repeat the fifth record exactly.
Here is a relaxed structure of DyAlZn17 from Alexandria via LeMat-Bulk. Energies are from GGA-PBE.

Computed properties:
The density of states at the Fermi level comes out at 5.14 states/eV/cell. The symmetry is No. 160. Its energy relative to the elements is -82 meV/atom.

Lattice parameters (Å, degrees): 6.8095 6.8095 6.8095 81.46 81.46 81.46
With the nearest neighbours (Å) after each atom.
Atoms (fractional coordinates):
Dy 0.6610 0.6610 0.6610  19 Zn 3.14-3.41, 1 Al 3.39
Al 0.4084 0.4084 0.4084  12 Zn 2.78-3.11
Zn 0.3060 0.0122 0.6672  7 Zn 2.61-2.75
Zn 0.6672 0.3060 0.0122  7 Zn 2.61-2.75
Zn 0.0122 0.6672 0.3060  7 Zn 2.61-2.75
Zn 0.3060 0.6672 0.0122  7 Zn 2.61-2.75
Zn 0.0122 0.3060 0.6672  7 Zn 2.61-2.75
Zn 0.6672 0.0122 0.3060  7 Zn 2.61-2.75
Zn 0.3427 0.8397 0.3427  9 Zn 2.55-2.79
Zn 0.3427 0.3427 0.8397  9 Zn 2.55-2.79
Zn 0.8397 0.3427 0.3427  9 Zn 2.55-2.79
Zn 0.6577 0.1624 0.6577  9 Zn 2.55-2.78, 1 Al 2.78
Zn 0.6577 0.6577 0.1624  9 Zn 2.55-2.78, 1 Al 2.78
Zn 0.1624 0.6577 0.6577  9 Zn 2.55-2.78, 1 Al 2.78
Zn 0.9830 0.4940 0.9830  10 Zn 2.55-2.73
Zn 0.9830 0.9830 0.4940  10 Zn 2.55-2.73
Zn 0.4940 0.9830 0.9830  10 Zn 2.55-2.73
Zn 0.9007 0.9007 0.9007  7 Zn 2.62-2.78
Zn 0.0960 0.0960 0.0960  7 Zn 2.62-2.79